1.
LiOsSN2 at its PBEsol-relaxed geometry. Source: the Alexandria database, functional meta-GGA SCAN.

a = 3.5190 Å, b = 3.5190 Å, c = 4.1403 Å
α = 90.00°, β = 90.00°, γ = 90.00°
Last column: nearest neighbours and their distance in Å.
Element x y z (fractional)
Li 0.0000 0.0000 0.0000  4 N 1.76
N 0.5000 0.0000 0.0000  2 Li 1.76
Os 0.5000 0.5000 0.5000  4 S 2.49, 8 N 2.72
N 0.0000 0.5000 0.0000  2 Li 1.76
S 0.0000 0.0000 0.5000  2 Li 2.07

Computed properties:
E_form (uncorrected): 47.6 kcal/mol of atoms
Energy above the lowest structure with this stoichiometry: 1835 meV/atom
Volume: 51.27 Å³ per cell

2.
Li3Mn3SiO8 at its PBEsol-relaxed geometry. Source: the Alexandria database, functional meta-GGA SCAN.

a = 5.2009 Å, b = 5.2710 Å, c = 5.5390 Å
α = 90.00°, β = 90.00°, γ = 113.00°
Last column: nearest neighbours and their distance in Å.
Element x y z (fractional)
Li 0.0000 0.0000 0.5000  6 O 2.08-2.21
O 0.2622 0.7870 0.5000  2 Mn 1.90, 3 Li 2.08-2.13
Mn 0.5000 0.0000 0.7502  4 O 1.90-1.94
O 0.7378 0.2130 0.5000  2 Mn 1.90, 3 Li 2.08-2.13
Mn 0.5000 0.5000 0.5000  4 O 1.90
Si 0.5000 0.5000 0.0000  6 O 1.80-1.85
O 0.7215 0.7022 0.2372  1 Si 1.80, 1 Mn 1.90
Li 0.0000 0.5000 0.2450  6 O 2.11-2.13
Mn 0.5000 0.0000 0.2498  4 O 1.90-1.94
O 0.3120 0.7345 0.0000  1 Si 1.85, 2 Mn 1.94
Li 0.0000 0.5000 0.7550  6 O 2.11-2.13
O 0.7215 0.7022 0.7628  1 Si 1.80, 1 Mn 1.90
O 0.2785 0.2978 0.2372  1 Si 1.80, 1 Mn 1.90
O 0.6880 0.2655 0.0000  1 Si 1.85, 2 Mn 1.94
O 0.2785 0.2978 0.7628  1 Si 1.80, 1 Mn 1.90

Computed properties:
E_form (uncorrected): -54.1 kcal/mol of atoms
Volume: 139.77 Å³ per cell